# 1
# CdP2RuO

Crystalline CdP2RuO at its relaxed geometry (PBE-GGA, the Alexandria database).

Results
* offset from the most stable computed form: 436.2 meV per atom
* E: -4.668 eV/atom
* D(E_F): 1.421 states/eV/atom
* raw formation energy: 526 meV/atom

Unit cell a=4.370 b=5.337 c=4.370 alpha=90.00 beta=90.00 gamma=90.00
Atoms (fractional coordinates):
1 Cd 0.000 0.500 0.000
2 P 0.500 0.000 0.000
3 P 0.000 0.000 0.500
4 O 0.500 0.500 0.500
5 Ru 0.000 0.000 0.000

# 2
# Sm2HoTmS6

Crystalline Sm2HoTmS6 at its relaxed geometry (PBE-GGA, the Alexandria database).

Results
* E: -6.371 eV/atom
* D(E_F): 0.000 states/eV/atom
* raw formation energy: -2046 meV/atom

Unit cell a=6.971 b=6.971 c=7.367 alpha=61.76 beta=61.76 gamma=59.99
Atoms (fractional coordinates):
1 S 0.934 0.605 0.256
2 S 0.430 0.704 0.757
3 S 0.605 0.205 0.256
4 S 0.109 0.430 0.757
5 S 0.205 0.934 0.256
6 S 0.704 0.109 0.757
7 Tm 0.317 0.317 0.048
8 Sm 0.521 0.521 0.438
9 Sm 0.020 0.020 0.939
10 Ho 0.817 0.817 0.550

# 3
# Er2Tl2AsO6

Crystalline Er2Tl2AsO6 at its relaxed geometry (PBE-GGA, the Alexandria database).

Results
* E: -6.350 eV/atom
* D(E_F): 0.455 states/eV/atom
* raw formation energy: -1963 meV/atom

Unit cell a=5.752 b=5.752 c=6.816 alpha=97.25 beta=97.25 gamma=119.77
Atoms (fractional coordinates):
1 O 0.046 0.351 0.660
2 O 0.747 0.747 0.663
3 O 0.954 0.649 0.340
4 O 0.649 0.954 0.340
5 O 0.253 0.253 0.337
6 O 0.351 0.046 0.660
7 Er 0.666 0.334 0.500
8 Er 0.334 0.666 0.500
9 Tl 0.836 0.164 0.000
10 Tl 0.164 0.836 0.000
11 As 0.000 0.000 0.500

# 4
# Sr4PuHg5

Crystalline Sr4PuHg5 at its relaxed geometry (PBE-GGA, the Alexandria database).

Results
* E: -2.693 eV/atom
* D(E_F): 1.438 states/eV/atom

Unit cell a=3.935 b=3.935 c=19.919 alpha=90.00 beta=90.00 gamma=90.00
Last column: magnetic moment on the atom in μB.
Atoms (fractional coordinates):
1 Hg 0.500 0.500 0.704  0.00
2 Hg 0.500 0.500 0.910  0.01
3 Hg 0.500 0.500 0.296  0.00
4 Hg 0.500 0.500 0.090  0.01
5 Hg 0.500 0.500 0.500  0.01
6 Sr 0.000 0.000 0.398  0.00
7 Sr 0.000 0.000 0.806  0.00
8 Sr 0.000 0.000 0.602  0.00
9 Sr 0.000 0.000 0.194  0.00
10 Pu 0.000 0.000 0.000  5.50

# 5
# YZrAs2

Crystalline YZrAs2 at its relaxed geometry (PBE-GGA, the Alexandria database).

Results
* offset from the most stable computed form: 397.5 meV per atom
* E: -7.006 eV/atom
* D(E_F): 0.650 states/eV/atom

Unit cell a=5.087 b=5.087 c=5.087 alpha=131.14 beta=114.52 gamma=85.82
Atoms (fractional coordinates):
1 As 0.008 0.008 0.000
2 As 0.492 0.492 0.000
3 Y 0.750 0.250 0.500
4 Zr 0.250 0.750 0.500

# 6
# CsHg17Pb

Crystalline CsHg17Pb at its relaxed geometry (PBE-GGA, the Alexandria database).

Results
* E: -0.545 eV/atom
* D(E_F): 0.262 states/eV/atom

Unit cell a=8.460 b=8.460 c=8.460 alpha=77.23 beta=77.23 gamma=77.23
Atoms (fractional coordinates):
1 Hg 0.943 0.943 0.943
2 Hg 0.606 0.606 0.196
3 Hg 0.294 0.694 0.004
4 Hg 0.904 0.346 0.346
5 Hg 0.196 0.606 0.606
6 Hg 0.346 0.346 0.904
7 Hg 0.294 0.004 0.694
8 Hg 0.941 0.941 0.567
9 Hg 0.004 0.694 0.294
10 Hg 0.694 0.294 0.004
11 Hg 0.119 0.119 0.119
12 Hg 0.346 0.904 0.346
13 Hg 0.941 0.567 0.941
14 Hg 0.567 0.941 0.941
15 Hg 0.606 0.196 0.606
16 Hg 0.004 0.294 0.694
17 Hg 0.694 0.004 0.294
18 Pb 0.363 0.363 0.363
19 Cs 0.638 0.638 0.638

How do the records compare in magnetic moment? In the order shown, they have 0.000, 0.000, 0.000, 0.590, 0.000, 0.000 μB/atom.